Material: Pa2CuPb
Method: DFT, PBE
State: optimized geometry

Summary:
- Energy relative to the lowest polymorph listed for this composition: 0 meV per atom
- Spin magnetization: 0.70 μB per formula unit
- Space group: P4/mmm (123)
- Total energy: -6.573 eV per atom
- Energy of formation: 126 meV per atom

a = 3.2321 Å, b = 3.2321 Å, c = 8.8825 Å
α = 90.00°, β = 90.00°, γ = 90.00°
Fractional coordinates of all 4 atoms:
Pb  0.5000  0.5000  0.5000
Pa  0.0000  0.0000  0.7852
Pa  0.0000  0.0000  0.2148
Cu  0.5000  0.5000  0.0000